{"formula": "LaTl2AsSe4", "functional": "PBE", "state": "optimized geometry", "cell": [[-3.764, 7.852, 0.741], [-7.605, -3.836, 1.954], [7.390, -1.952, 4.589]], "species": ["Se", "Se", "Se", "Se", "Se", "Se", "Se", "Se", "Tl", "Tl", "Tl", "Tl", "La", "La", "As", "As"], "frac_coords": [[0.792, 0.244, 0.018], [0.243, 0.257, 0.043], [0.744, 0.292, 0.518], [0.757, 0.743, 0.543], [0.757, 0.743, 0.957], [0.256, 0.708, 0.482], [0.208, 0.756, 0.982], [0.243, 0.257, 0.457], [0.500, 0.000, 0.000], [0.000, 0.000, 0.500], [0.500, 0.000, 0.500], [0.500, 0.500, 0.000], [0.000, 0.500, 0.000], [0.000, 0.500, 0.500], [0.500, 0.500, 0.500], [0.000, 0.000, 0.000]], "dos_at_fermi_per_ev_cell": 0.812, "m_tot_mub_per_atom": 0.000, "e_form_raw_mev_per_atom": -773}